Here is an optimized crystal structure of FeHgCl2 from the Alexandria database. Energies are from PBE.

Results
Energy above the most stable polymorph in this dataset in meV per atom: 225
Raw formation energy in kJ/mol of formula units: -113
V in Å³ per cell: 93.9
Magnetization in μB/f.u.: 3.9
Crystal system: tetragonal

Unit cell a=3.1111 b=3.1111 c=9.6969 alpha=90.00 beta=90.00 gamma=90.00
Space group P4/mmm (No. 123)
Inequivalent atoms, fractional coordinates:
Fe 0.0000 0.0000 0.0000 x1
Hg 0.0000 0.0000 0.5000 x1
Cl 0.5000 0.5000 0.1549 x2

=====

Here is an optimized crystal structure of FeHgCl4 from the Alexandria database. Energies are from PBE.

Results
Energy above the most stable polymorph in this dataset in meV per atom: 65
Raw formation energy in kJ/mol of formula units: -332
V in Å³ per cell: 702.9
Magnetization in μB/f.u.: 4.0
Crystal system: monoclinic

Unit cell a=15.8566 b=5.3427 c=8.6785 alpha=90.00 beta=107.04 gamma=90.00
Space group C2/m (No. 12)
Inequivalent atoms, fractional coordinates:
Fe 0.0893 0.0000 0.1555 x4
Hg 0.2397 0.0000 0.6621 x4
Cl 0.0643 0.0000 0.8757 x4
Cl 0.1018 0.0000 0.4528 x4
Cl 0.1038 0.5000 0.1798 x4
Cl 0.2475 0.0000 0.2193 x4

=====

Here is an optimized crystal structure of Fe3HgCl from the Alexandria database. Energies are from PBE.

Results
Energy above the most stable polymorph in this dataset in meV per atom: 0
Raw formation energy in kJ/mol of formula units: 340
V in Å³ per cell: 74.4
Magnetization in μB/f.u.: 6.0
Crystal system: cubic

Unit cell a=4.2058 b=4.2058 c=4.2058 alpha=90.00 beta=90.00 gamma=90.00
Space group Pm-3m (No. 221)
Inequivalent atoms, fractional coordinates:
Fe 0.0000 0.0000 0.5000 x3
Hg 0.5000 0.5000 0.5000 x1
Cl 0.0000 0.0000 0.0000 x1

=====

Here is an optimized crystal structure of FeHgCl2 from the Alexandria database. Energies are from PBE.

Results
Energy above the most stable polymorph in this dataset in meV per atom: 376
Raw formation energy in kJ/mol of formula units: -55
V in Å³ per cell: 201.9
Magnetization in μB/f.u.: 3.5
Crystal system: orthorhombic

Unit cell a=3.3258 b=6.5806 c=9.2252 alpha=90.00 beta=90.00 gamma=90.00
Space group Imm2 (No. 44)
Inequivalent atoms, fractional coordinates:
Fe 0.0000 0.0000 0.0000 x2
Hg 0.0000 0.5000 0.2666 x2
Cl 0.0000 0.0000 0.5335 x2
Cl 0.0000 0.5000 0.6737 x2

=====

Q: Which of these has the highest magnetization?
A: Fe3HgCl

=====

Q: Number 1 is which compound?
A: FeHgCl2

=====

Q: Look up the energy above the most stable polymorph in this dataset of the first one.
A: 225 meV per atom

=====

Q: Which value of magnetization does entry 1 give?
A: 3.9 μB/f.u.